# NbHgSe3 | Alexandria | PBE-GGA | relaxed
# ΔE to the lowest computed polymorph = 0.300 eV per atom
data_NbHgSe3
_chemical_formula_sum 'Nb1 Hg1 Se3'
_space_group_name_H-M_alt 'P m -3 m'
_space_group_IT_number 221
_space_group_name_Hall '-P 4 2 3'
_cell_length_a 5.089
_cell_length_b 5.089
_cell_length_c 5.089
_cell_angle_alpha 90.00
_cell_angle_beta 90.00
_cell_angle_gamma 90.00
loop_
_atom_site_label
_atom_site_type_symbol
_atom_site_fract_x
_atom_site_fract_y
_atom_site_fract_z
Nb1 Nb 0.000 0.000 0.000
Hg1 Hg 0.500 0.500 0.500
Se1 Se 0.000 0.000 0.500

A relaxed NbHgSe2 crystal. Source: Alexandria, functional PBE-GGA.

```
data_NbHgSe2
_chemical_formula_sum 'Nb3 Hg3 Se6'
_space_group_name_H-M_alt 'R -3 m'
_space_group_IT_number 166
_space_group_name_Hall '-R 3 2"'
_cell_length_a 3.4725
_cell_length_b 3.4725
_cell_length_c 31.0309
_cell_angle_alpha 90.00
_cell_angle_beta 90.00
_cell_angle_gamma 120.00
loop_
_atom_site_label
_atom_site_type_symbol
_atom_site_fract_x
_atom_site_fract_y
_atom_site_fract_z
Nb1 Nb 0.0000 0.0000 0.0000
Hg1 Hg 0.0000 0.0000 0.5000
Se1 Se 0.0000 0.0000 0.3877
```

A relaxed NbHgSe2 crystal. Source: Alexandria, functional PBE-GGA.

```
data_NbHgSe2
_chemical_formula_sum 'Nb4 Hg4 Se8'
_space_group_name_H-M_alt 'I 4/m c m'
_space_group_IT_number 140
_space_group_name_Hall '-I 4 2c'
_cell_length_a 9.496
_cell_length_b 9.496
_cell_length_c 5.844
_cell_angle_alpha 90.00
_cell_angle_beta 90.00
_cell_angle_gamma 90.00
loop_
_atom_site_label
_atom_site_type_symbol
_atom_site_fract_x
_atom_site_fract_y
_atom_site_fract_z
Nb1 Nb 0.000 0.500 0.250
Hg1 Hg 0.000 0.000 0.250
Se1 Se 0.151 0.349 0.000
```

A relaxed NbHgSe2 crystal. Source: Alexandria, functional PBE-GGA.

```
data_NbHgSe2
_chemical_formula_sum 'Nb3 Hg3 Se6'
_space_group_name_H-M_alt 'R 3 m'
_space_group_IT_number 160
_space_group_name_Hall 'R 3 -2"'
_cell_length_a 3.4715
_cell_length_b 3.4715
_cell_length_c 29.1239
_cell_angle_alpha 90.00
_cell_angle_beta 90.00
_cell_angle_gamma 120.00
loop_
_atom_site_label
_atom_site_type_symbol
_atom_site_fract_x
_atom_site_fract_y
_atom_site_fract_z
Nb1 Nb 0.0000 0.0000 0.0000
Hg1 Hg 0.0000 0.0000 0.1692
Se1 Se 0.0000 0.0000 0.3914
Se2 Se 0.0000 0.0000 0.6085
```

Uncorrected formation energy readings, ordered: -0.854, -2.431, -1.506, -2.433 eV/f.u.